1.
TlHgF3: relaxed, PBE-GGA.

abc: 6.8795 6.8795 6.8795
angles: 55.21 55.21 55.21
Last column: nearest neighbours and their distance in Å.
Fractional coordinates of all 10 atoms:
1 Tl 0.1329 0.1329 0.1329  6 F 2.72-2.87
2 Tl 0.8671 0.8671 0.8671  6 F 2.72-2.87
3 Hg 0.3468 0.3468 0.3468  6 F 2.33-2.40
4 Hg 0.6532 0.6532 0.6532  6 F 2.33-2.40
5 F 0.0533 0.4795 0.6905  2 Hg 2.33-2.40
6 F 0.3095 0.9467 0.5205  2 Hg 2.33-2.40
7 F 0.4795 0.6905 0.0533  2 Hg 2.33-2.40
8 F 0.5205 0.3095 0.9467  2 Hg 2.33-2.40
9 F 0.6905 0.0533 0.4795  2 Hg 2.33-2.40
10 F 0.9467 0.5205 0.3095  2 Hg 2.33-2.40

Computed properties:
SG: R-3
Raw total energy, eV per cell: -32.4
ρ, g/cm3: 7.5
Magnetization, μB/cell: 0.00
Raw formation energy, eV per atom: -1.58

=====

2.
LiPtRh: relaxed, PBE-GGA.

abc: 6.2093 6.2093 6.2093
angles: 154.92 154.92 35.77
Last column: nearest neighbours and their distance in Å.
Fractional coordinates of all 3 atoms:
1 Li 0.0000 0.0000 0.0000  4 Li 2.70, 4 Pt 2.72, 4 Rh 2.76
2 Pt 0.3363 0.3363 0.0000  4 Pt 2.70, 4 Li 2.72, 4 Rh 2.75
3 Rh 0.6689 0.6689 0.0000  4 Rh 2.70, 4 Pt 2.75, 4 Li 2.76

Computed properties:
SG: I4mm
Raw total energy, eV per cell: -15.8
Formation energy, meV/atom: -153
ρ, g/cm3: 11.8
Magnetization, μB/cell: 0.00

=====

3.
KCd6Au2: relaxed, PBE-GGA.

abc: 4.5338 4.5338 10.8038
angles: 90.00 90.00 90.00
Last column: nearest neighbours and their distance in Å.
Fractional coordinates of all 9 atoms:
1 K 0.0000 0.0000 0.0000  8 Au 3.49, 8 Cd 3.86
2 Cd 0.0000 0.0000 0.5000  12 Cd 3.21-3.22
3 Cd 0.0000 0.5000 0.2888  2 Au 2.86, 4 Cd 3.21
4 Cd 0.0000 0.5000 0.7112  2 Au 2.86, 4 Cd 3.21
5 Cd 0.5000 0.0000 0.2888  2 Au 2.86, 4 Cd 3.21
6 Cd 0.5000 0.0000 0.7112  2 Au 2.86, 4 Cd 3.21
7 Cd 0.5000 0.5000 0.5000  12 Cd 3.21-3.22
8 Au 0.5000 0.5000 0.1269  1 Au 2.74, 4 Cd 2.86
9 Au 0.5000 0.5000 0.8731  1 Au 2.74, 4 Cd 2.86

Computed properties:
SG: P4/mmm
Raw total energy, eV per cell: -14.2
Formation energy, meV/atom: -120
ρ, g/cm3: 8.3
Magnetization, μB/cell: 0.00

=====

4.
AlSbHI2: relaxed, PBE-GGA.

abc: 5.7293 5.7293 5.3316
angles: 90.00 90.00 90.00
Last column: nearest neighbours and their distance in Å.
Fractional coordinates of all 5 atoms:
1 Al 0.0000 0.0000 0.0000  2 Sb 2.67, 4 I 2.86
2 Sb 0.0000 0.0000 0.5000  2 Al 2.67
3 H 0.5000 0.5000 0.5000  8 I 3.91, 4 Sb 4.05
4 I 0.0000 0.5000 0.0000  2 Al 2.86
5 I 0.5000 0.0000 0.0000  2 Al 2.86

Computed properties:
SG: P4/mmm
Raw total energy, eV per cell: -11.5
ρ, g/cm3: 3.8
Magnetization, μB/cell: 1.92

=====

5.
Li5Y2Cu12: relaxed, PBE-GGA.

abc: 6.5293 6.5293 6.5293
angles: 82.48 82.48 82.48
Last column: nearest neighbours and their distance in Å.
Fractional coordinates of all 19 atoms:
1 Li 0.0000 0.0000 0.5000  8 Cu 2.50, 2 Li 2.66
2 Li 0.0000 0.5000 0.0000  8 Cu 2.50, 2 Li 2.66
3 Li 0.0917 0.0917 0.0917  1 Li 2.33
4 Li 0.5000 0.0000 0.0000  8 Cu 2.50, 2 Li 2.66
5 Li 0.9083 0.9083 0.9083  1 Li 2.33
6 Y 0.3534 0.3534 0.3534  12 Cu 3.00-3.15, 1 Li 3.32
7 Y 0.6466 0.6466 0.6466  12 Cu 3.00-3.15, 1 Li 3.32
8 Cu 0.0000 0.3064 0.6936  2 Li 2.50, 6 Cu 2.59-2.64
9 Cu 0.0000 0.6936 0.3064  2 Li 2.50, 6 Cu 2.59-2.64
10 Cu 0.1612 0.6575 0.6575  6 Cu 2.47-2.62, 3 Li 2.50-2.72
11 Cu 0.3064 0.0000 0.6936  2 Li 2.50, 6 Cu 2.59-2.64
12 Cu 0.3064 0.6936 0.0000  2 Li 2.50, 6 Cu 2.59-2.64
13 Cu 0.3425 0.3425 0.8388  6 Cu 2.47-2.62, 3 Li 2.50-2.72
14 Cu 0.3425 0.8388 0.3425  6 Cu 2.47-2.62, 3 Li 2.50-2.72
15 Cu 0.6575 0.1612 0.6575  6 Cu 2.47-2.62, 3 Li 2.50-2.72
16 Cu 0.6575 0.6575 0.1612  6 Cu 2.47-2.62, 3 Li 2.50-2.72
17 Cu 0.6936 0.0000 0.3064  2 Li 2.50, 6 Cu 2.59-2.64
18 Cu 0.6936 0.3064 0.0000  2 Li 2.50, 6 Cu 2.59-2.64
19 Cu 0.8388 0.3425 0.3425  6 Cu 2.47-2.62, 3 Li 2.50-2.72

Computed properties:
SG: R-3m
Raw total energy, eV per cell: -73.9
Formation energy, meV/atom: -117
ρ, g/cm3: 6.0
Magnetization, μB/cell: 0.00

=====

6.
TiGaIF2: relaxed, PBE-GGA.

abc: 4.1118 4.1118 5.8298
angles: 90.00 90.00 90.00
Last column: nearest neighbours and their distance in Å.
Fractional coordinates of all 5 atoms:
1 Ti 0.0000 0.0000 0.0000  4 I 2.91, 2 Ga 2.91
2 Ga 0.0000 0.0000 0.5000  4 F 2.06
3 I 0.5000 0.5000 0.0000  4 Ti 2.91
4 F 0.0000 0.5000 0.5000  2 Ga 2.06
5 F 0.5000 0.0000 0.5000  2 Ga 2.06

Computed properties:
SG: P4/mmm
Raw total energy, eV per cell: -21.5
ρ, g/cm3: 4.8
Magnetization, μB/cell: 1.99
Raw formation energy, eV per atom: -1.05

=====

Copy entry 4 word for word.
AlSbHI2: relaxed, PBE-GGA.

abc: 5.7293 5.7293 5.3316
angles: 90.00 90.00 90.00
Last column: nearest neighbours and their distance in Å.
Fractional coordinates of all 5 atoms:
1 Al 0.0000 0.0000 0.0000  2 Sb 2.67, 4 I 2.86
2 Sb 0.0000 0.0000 0.5000  2 Al 2.67
3 H 0.5000 0.5000 0.5000  8 I 3.91, 4 Sb 4.05
4 I 0.0000 0.5000 0.0000  2 Al 2.86
5 I 0.5000 0.0000 0.0000  2 Al 2.86

Computed properties:
SG: P4/mmm
Raw total energy, eV per cell: -11.5
ρ, g/cm3: 3.8
Magnetization, μB/cell: 1.92

=====

- Among the records above, which one has the lowest raw total energy?
  Li5Y2Cu12